VASP calculation (PBE) on ZrRe2Hg after structural relaxation.

abc: 3.3131 4.5954 9.4003
angles: 90.00 90.00 90.00
Space group Immm (No. 71)
Asymmetric unit:
Zr: 0.0000 0.0000 0.0000 [2 per cell]
Re: 0.0000 0.5000 0.2594 [4 per cell]
Hg: 0.0000 0.0000 0.5000 [2 per cell]

* calculated total energy: -8.00 eV per atom
* ΔE_f: 0.435 eV per atom



VASP calculation (PBE) on Ba3In after structural relaxation.

abc: 12.5336 12.5336 4.1751
angles: 90.00 90.00 120.00
Space group R-3m (No. 166, hexagonal axes)
Asymmetric unit:
Ba: 0.0000 0.5000 0.0000 [9 per cell]
In: 0.0000 0.0000 0.0000 [3 per cell]

* calculated total energy: -2.15 eV per atom
* ΔE_f: -0.025 eV per atom